[1]
# RbSnH4

An optimized crystal structure of RbSnH4 (GGA-PBE, the Alexandria database).

Unit cell a=7.968 b=7.968 c=4.860 alpha=105.89 beta=105.89 gamma=44.28
Fractional positions:
Rb: 0.162 0.162 0.247
Rb: 0.838 0.838 0.753
Sn: 0.415 0.415 0.186
Sn: 0.585 0.585 0.814
H: 0.126 0.570 0.298
H: 0.305 0.695 0.000
H: 0.332 0.332 0.825
H: 0.430 0.874 0.702
H: 0.570 0.126 0.298
H: 0.668 0.668 0.175
H: 0.695 0.305 0.000
H: 0.874 0.430 0.702

Summary:
- Calculated density: 3.36 g/cm³
- Symmetry: C2/m (12)
- DFT total energy: -2.9927 eV/atom



[2]
# CrCuPt2S

An optimized crystal structure of CrCuPt2S (GGA-PBE, the Alexandria database).

Unit cell a=4.615 b=4.615 c=4.554 alpha=90.00 beta=90.00 gamma=90.00
Fractional positions:
Cr: 0.000 0.000 0.000
Cu: 0.000 0.000 0.500
Pt: 0.000 0.500 0.000
Pt: 0.500 0.000 0.000
S: 0.500 0.500 0.500

Summary:
- Calculated density: 9.21 g/cm³
- Energy relative to the elements, uncorrected: 1.249 eV per atom
- Symmetry: P4/mmm (123)



[3]
# FeSe3

An optimized crystal structure of FeSe3 (GGA-PBE, the Alexandria database).

Unit cell a=3.635 b=3.635 c=7.932 alpha=102.58 beta=102.58 gamma=53.96
Fractional positions:
Fe: 0.000 0.000 0.000
Se: 0.366 0.366 0.165
Se: 0.500 0.500 0.500
Se: 0.634 0.634 0.835

Summary:
- Calculated density: 5.91 g/cm³
- Energy relative to the elements, uncorrected: -0.005 eV per atom
- Symmetry: C2/m (12)



[4]
# AcCd11Au

An optimized crystal structure of AcCd11Au (GGA-PBE, the Alexandria database).

Unit cell a=7.747 b=7.747 c=7.716 alpha=98.45 beta=98.45 gamma=134.94
Fractional positions:
Ac: 0.000 0.000 0.000
Cd: 0.000 0.000 0.500
Cd: 0.000 0.500 0.000
Cd: 0.010 0.362 0.357
Cd: 0.287 0.502 0.781
Cd: 0.362 0.010 0.357
Cd: 0.498 0.713 0.219
Cd: 0.500 0.000 0.000
Cd: 0.502 0.287 0.781
Cd: 0.638 0.990 0.643
Cd: 0.713 0.498 0.219
Cd: 0.990 0.638 0.643
Au: 0.500 0.500 0.500

Summary:
- Calculated density: 9.11 g/cm³
- Energy of formation from the pure elements: -0.1726 eV per atom
- Symmetry: C2/m (12)



[5]
# LaPm2NdTl4

An optimized crystal structure of LaPm2NdTl4 (GGA-PBE, the Alexandria database).

Unit cell a=9.596 b=9.596 c=9.596 alpha=33.53 beta=33.53 gamma=33.53
Fractional positions:
La: 0.000 0.000 0.000
Pm: 0.250 0.250 0.250
Pm: 0.750 0.750 0.750
Nd: 0.500 0.500 0.500
Tl: 0.126 0.126 0.126
Tl: 0.376 0.376 0.376
Tl: 0.624 0.624 0.624
Tl: 0.874 0.874 0.874

Summary:
- Calculated density: 9.62 g/cm³
- Energy of formation from the pure elements: -0.3935 eV per atom
- Symmetry: R-3m (166)



[6]
# BeCoNi4

An optimized crystal structure of BeCoNi4 (GGA-PBE, the Alexandria database).

Unit cell a=4.581 b=4.581 c=4.581 alpha=60.00 beta=60.00 gamma=60.00
Fractional positions:
Be: 0.000 0.000 0.000
Co: 0.750 0.750 0.750
Ni: 0.375 0.375 0.375
Ni: 0.375 0.375 0.876
Ni: 0.375 0.876 0.375
Ni: 0.876 0.375 0.375

Summary:
- Calculated density: 7.40 g/cm³
- Energy of formation from the pure elements: 0.2418 eV per atom
- Symmetry: F-43m (216)
- E above lowest polymorph: 394 meV/atom



[7]
# GaCoGePt

An optimized crystal structure of GaCoGePt (GGA-PBE, the Alexandria database).

Unit cell a=4.256 b=2.909 c=5.007 alpha=90.00 beta=111.97 gamma=90.00
Fractional positions:
Ga: 0.000 0.000 0.000
Co: 0.500 0.000 0.500
Ge: 0.000 0.500 0.500
Pt: 0.500 0.500 0.000

Summary:
- Calculated density: 11.45 g/cm³
- Energy of formation from the pure elements: -0.1953 eV per atom
- Symmetry: P2/m (10)
- E above lowest polymorph: 119 meV/atom



[8]
# TiAlTcAu

An optimized crystal structure of TiAlTcAu (GGA-PBE, the Alexandria database).

Unit cell a=4.438 b=4.438 c=4.438 alpha=60.00 beta=60.00 gamma=60.00
Fractional positions:
Ti: 0.000 0.000 0.000
Al: 0.500 0.500 0.500
Tc: 0.250 0.250 0.250
Au: 0.750 0.750 0.750

Summary:
- Calculated density: 9.93 g/cm³
- Energy of formation from the pure elements: -0.3853 eV per atom
- Symmetry: F-43m (216)
- E above lowest polymorph: 145 meV/atom



[9]
# LuMgBiPb

An optimized crystal structure of LuMgBiPb (GGA-PBE, the Alexandria database).

Unit cell a=5.371 b=5.371 c=5.371 alpha=60.00 beta=60.00 gamma=60.00
Fractional positions:
Lu: 0.000 0.000 0.000
Mg: 0.500 0.500 0.500
Bi: 0.750 0.750 0.750
Pb: 0.250 0.250 0.250

Summary:
- Calculated density: 9.33 g/cm³
- Energy of formation from the pure elements: -0.1784 eV per atom
- Symmetry: F-43m (216)



[10]
# SrOs3Au

An optimized crystal structure of SrOs3Au (GGA-PBE, the Alexandria database).

Unit cell a=4.978 b=4.978 c=4.978 alpha=90.00 beta=90.00 gamma=90.00
Fractional positions:
Sr: 0.000 0.000 0.000
Os: 0.000 0.500 0.500
Os: 0.500 0.000 0.500
Os: 0.500 0.500 0.000
Au: 0.500 0.500 0.500

Summary:
- Calculated density: 11.52 g/cm³
- Energy of formation from the pure elements: 2.2141 eV per atom
- Symmetry: Pm-3m (221)
- E above lowest polymorph: 0 meV/atom



[11]
# HfC2NO

An optimized crystal structure of HfC2NO (GGA-PBE, the Alexandria database).

Unit cell a=4.418 b=4.418 c=4.147 alpha=90.00 beta=90.00 gamma=90.00
Fractional positions:
Hf: 0.000 0.000 0.000
C: 0.000 0.500 0.000
C: 0.500 0.000 0.000
N: 0.000 0.000 0.500
O: 0.500 0.500 0.500

Summary:
- Calculated density: 4.77 g/cm³
- Energy relative to the elements, uncorrected: 2.320 eV per atom
- Symmetry: P4/mmm (123)



[12]
# Na2CaNiH8

An optimized crystal structure of Na2CaNiH8 (GGA-PBE, the Alexandria database).

Unit cell a=4.749 b=4.749 c=6.190 alpha=90.00 beta=90.00 gamma=120.00
Fractional positions:
Na: 0.333 0.667 0.334
Na: 0.667 0.333 0.666
Ca: 0.000 0.000 0.000
Ni: 0.000 0.000 0.500
H: 0.148 0.297 0.644
H: 0.148 0.852 0.644
H: 0.297 0.148 0.356
H: 0.333 0.667 0.981
H: 0.667 0.333 0.019
H: 0.703 0.852 0.644
H: 0.852 0.148 0.356
H: 0.852 0.703 0.356

Summary:
- Calculated density: 2.10 g/cm³
- Symmetry: P-3m1 (164)
- DFT total energy: -3.2838 eV/atom